[1]
DFT (GGA-PBE) results for a geometry-optimized PuCoGe2Ru structure.

a = 4.085 Å, b = 4.085 Å, c = 10.301 Å
α = 90.00°, β = 90.00°, γ = 90.00°
Space group I-4m2 (No. 119)
Inequivalent atoms, fractional coordinates:
Pu  0.000  0.000  0.000 [2 per cell]
Co  0.000  0.500  0.250 [2 per cell]
Ge  0.000  0.000  0.373 [4 per cell]
Ru  0.000  0.500  0.750 [2 per cell]

The calculation puts the formation enthalpy at 0 K at -0.43 eV/atom. Its crystal system is tetragonal.

---

[2]
DFT (GGA-PBE) results for a geometry-optimized Tb2Nd2Te5 structure.

a = 18.951 Å, b = 8.849 Å, c = 7.682 Å
α = 90.00°, β = 90.00°, γ = 90.00°
Space group Ima2 (No. 46)
Inequivalent atoms, fractional coordinates:
Tb  0.000  0.000  0.000 [4 per cell]
Tb  0.250  0.108  0.917 [4 per cell]
Nd  0.089  0.573  0.955 [8 per cell]
Te  0.038  0.212  0.704 [8 per cell]
Te  0.150  0.612  0.573 [8 per cell]
Te  0.250  0.065  0.530 [4 per cell]

For the energy above the most stable polymorph in this dataset, the calculation gives 112 meV/atom. As for the formation energy without anion corrections: -1.2282 eV per atom. Its crystal system is orthorhombic.

---

[3]
DFT (GGA-PBE) results for a geometry-optimized AlV2C structure.

a = 2.9117 Å, b = 2.9117 Å, c = 13.1360 Å
α = 90.00°, β = 90.00°, γ = 120.00°
Space group P6_3/mmc (No. 194)
Inequivalent atoms, fractional coordinates:
Al  0.3333  0.6667  0.2500 [2 per cell]
V  0.3333  0.6667  0.5851 [4 per cell]
C  0.0000  0.0000  0.0000 [2 per cell]

The calculation puts the formation enthalpy at 0 K at -0.52 eV/atom. Its crystal system is hexagonal.

---

[4]
DFT (GGA-PBE) results for a geometry-optimized Tb2TmF structure.

a = 3.6825 Å, b = 3.6825 Å, c = 25.2325 Å
α = 90.00°, β = 90.00°, γ = 120.00°
Space group R-3m (No. 166, hexagonal axes)
Inequivalent atoms, fractional coordinates:
Tb  0.0000  0.0000  0.2233 [6 per cell]
Tm  0.0000  0.0000  0.0000 [3 per cell]
F  0.0000  0.0000  0.5000 [3 per cell]

As for the formation energy without anion corrections: -1.1398 eV per atom. Its crystal system is trigonal.

---

[5]
DFT (GGA-PBE) results for a geometry-optimized ZnFeTc2N structure.

a = 4.049 Å, b = 4.049 Å, c = 3.776 Å
α = 90.00°, β = 90.00°, γ = 90.00°
Space group P4/mmm (No. 123)
Inequivalent atoms, fractional coordinates:
Zn  0.000  0.000  0.000 [1 per cell]
Fe  0.500  0.500  0.000 [1 per cell]
Tc  0.000  0.500  0.500 [2 per cell]
N  0.500  0.500  0.500 [1 per cell]

As for the formation energy without anion corrections: -0.0085 eV per atom. Its crystal system is tetragonal.

---

[6]
DFT (GGA-PBE) results for a geometry-optimized LiCd7Au4 structure.

a = 13.158 Å, b = 4.950 Å, c = 10.032 Å
α = 90.00°, β = 126.39°, γ = 90.00°
Space group C2/m (No. 12)
Inequivalent atoms, fractional coordinates:
Li  0.000  0.000  0.000 [2 per cell]
Cd  0.000  0.500  0.000 [2 per cell]
Cd  0.074  0.000  0.338 [4 per cell]
Cd  0.150  0.500  0.586 [4 per cell]
Cd  0.211  0.000  0.871 [4 per cell]
Au  0.070  0.500  0.787 [4 per cell]
Au  0.203  0.500  0.333 [4 per cell]

The calculation puts the formation enthalpy at 0 K at -0.12 eV/atom. Its crystal system is monoclinic.

---

Number 1: calculated volume 171.9 Å³/cell. Number 2: calculated volume 1288.2 Å³/cell. Number 3: calculated volume 96.4 Å³/cell. Number 4: calculated volume 296.3 Å³/cell. Number 5: calculated volume 61.9 Å³/cell. Number 6: calculated volume 525.9 Å³/cell.